! Cs2GaCl4 (PBE, relaxed); values from VASP
! Mass density, g/cm³: 3.36
! Formation energy without anion corrections, eV per atom: -1.538
! Total magnetization, μB per cell: 0.00
! Crystal system: tetragonal
&SYSTEM
  ibrav = 0, nat = 7, ntyp = 3
/
ATOMIC_SPECIES
Cs 132.91 Cs.upf
Ga 69.72 Ga.upf
Cl 35.45 Cl.upf
CELL_PARAMETERS angstrom
5.188 0.000 0.000
0.000 5.188 0.000
2.594 2.594 8.753
ATOMIC_POSITIONS crystal
Cs 0.644 0.644 0.711
Cs 0.356 0.356 0.289
Ga 0.000 0.000 0.000
Cl 0.848 0.848 0.305
Cl 0.152 0.152 0.695
Cl 0.000 0.500 0.000
Cl 0.500 0.000 0.000